Here is CaTlV2O8 after structural relaxation from the Alexandria database. Energies are from GGA+U.

Density of states at the Fermi level ... 0.69 states/eV per atom
Magnetization ... 1.1 Bohr magnetons per cell
Symmetry ... No. 119
E_tot ... -78.8 eV per cell

Cell: 6.0597 6.0597 6.0597 Å, 106.79 106.79 114.97°
Positions (direct):
Ca  0.0000  0.0000  0.0000
Tl  0.7500  0.2500  0.5000
V  0.2500  0.7500  0.5000
V  0.5000  0.5000  0.0000
O  0.0843  0.3961  0.3118
O  0.0843  0.7726  0.6882
O  0.1440  0.3337  0.8103
O  0.2274  0.9157  0.3118
O  0.5234  0.3337  0.1897
O  0.6039  0.9157  0.6882
O  0.6663  0.4766  0.8103
O  0.6663  0.8560  0.1897